# 1
Compound: LiTmSn2Te4
Source: Alexandria
Functional: PBE-GGA
Structure: relaxed

Calculated values
* space group: P2/m (10)
* crystal system: monoclinic
* electronic total energy: -4.09 eV/atom
* V: 30.8 Å³/atom
* formation energy from raw total energies: -0.72 eV per atom
* total magnetization: 0.00 μB/cell

a = 4.4205 Å, b = 7.6133 Å, c = 7.7337 Å
α = 108.83°, β = 90.00°, γ = 90.00°
Atoms (fractional coordinates):
Te 0.5000 0.2468 0.2340
Te 0.0000 0.7452 0.2347
Te 0.0000 0.2548 0.7653
Te 0.5000 0.7532 0.7660
Sn 0.0000 0.5000 0.5000
Sn 0.5000 0.0000 0.5000
Tm 0.5000 0.5000 0.0000
Li 0.0000 0.0000 0.0000

***

# 2
Compound: Cs2UBe2Se6
Source: Alexandria
Functional: PBE-GGA
Structure: relaxed

Calculated values
* space group: R-3m (166)
* crystal system: trigonal
* electronic total energy: -4.67 eV/atom
* V: 32.0 Å³/atom
* formation energy from raw total energies: -0.91 eV per atom
* D(E_F): 3.06 states/eV/f.u.
* total magnetization: 0.13 μB/cell

a = 7.4609 Å, b = 7.4609 Å, c = 8.4720 Å
α = 63.88°, β = 63.88°, γ = 60.00°
Site moments in Bohr magnetons follow the coordinates.
Atoms (fractional coordinates):
U 0.0000 0.0000 0.0000  0.24
Cs 0.2244 0.2244 0.3267  0.00
Cs 0.7756 0.7756 0.6733  0.00
Se 0.2636 0.7579 0.2206  -0.01
Se 0.2421 0.2421 0.7794  -0.01
Se 0.2421 0.7364 0.7794  -0.01
Se 0.7364 0.2421 0.7794  -0.01
Se 0.7579 0.2636 0.2206  -0.01
Se 0.7579 0.7579 0.2206  -0.01
Be 0.4017 0.4017 0.7949  0.00
Be 0.5983 0.5983 0.2051  0.00

***

# 3
Compound: FeCoPt4
Source: Alexandria
Functional: PBE-GGA
Structure: relaxed

Calculated values
* formation energy: 0.30 eV/atom
* space group: F-43m (216)
* crystal system: cubic
* electronic total energy: -6.32 eV/atom
* ΔE to the lowest computed polymorph: 0.254 eV/atom
* V: 16.4 Å³/atom
* D(E_F): 6.19 states/eV/f.u.
* total magnetization: 5.26 μB/cell

a = 5.1862 Å, b = 5.1862 Å, c = 5.1862 Å
α = 60.00°, β = 60.00°, γ = 60.00°
Site moments in Bohr magnetons follow the coordinates.
Atoms (fractional coordinates):
Fe 0.0000 0.0000 0.0000  3.28
Co 0.7500 0.7500 0.7500  2.02
Pt 0.3751 0.3751 0.3751  0.02
Pt 0.3751 0.8748 0.3751  0.02
Pt 0.8748 0.3751 0.3751  0.02
Pt 0.3751 0.3751 0.8748  0.02

***

# 4
Compound: MnReSi
Source: Alexandria
Functional: PBE-GGA
Structure: relaxed

Calculated values
* space group: P3m1 (156)
* crystal system: trigonal
* electronic total energy: -9.17 eV/atom
* V: 12.6 Å³/atom
* formation energy from raw total energies: -0.15 eV per atom
* D(E_F): 2.62 states/eV/f.u.
* total magnetization: 0.00 μB/cell

a = 4.0064 Å, b = 4.0064 Å, c = 2.7274 Å
α = 90.00°, β = 90.00°, γ = 120.00°
Atoms (fractional coordinates):
Si 0.3333 0.6667 0.8322
Mn 0.0000 0.0000 0.8346
Re 0.6667 0.3333 0.3332

***

# 5
Compound: Sm6YTm2
Source: Alexandria
Functional: PBE-GGA
Structure: relaxed

Calculated values
* formation energy: 0.16 eV/atom
* space group: Immm (71)
* crystal system: orthorhombic
* electronic total energy: -4.69 eV/atom
* ΔE to the lowest computed polymorph: 0.145 eV/atom
* V: 33.9 Å³/atom
* D(E_F): 14.71 states/eV/f.u.
* total magnetization: 0.00 μB/cell

a = 5.6454 Å, b = 8.9642 Å, c = 8.9642 Å
α = 45.72°, β = 71.69°, γ = 71.69°
Atoms (fractional coordinates):
Sm 0.3881 0.8788 0.3444
Sm 0.7872 0.2125 0.2125
Sm 0.3881 0.3444 0.8788
Sm 0.6119 0.1212 0.6556
Sm 0.6119 0.6556 0.1212
Sm 0.2128 0.7875 0.7875
Tm 0.8542 0.6456 0.6456
Tm 0.1458 0.3544 0.3544
Y 0.0000 0.0000 0.0000

***

# 6
Compound: EuLuRu
Source: Alexandria
Functional: PBE-GGA
Structure: relaxed

Calculated values
* formation energy: -0.18 eV/atom
* space group: I4mm (107)
* crystal system: tetragonal
* electronic total energy: -8.20 eV/atom
* V: 25.1 Å³/atom
* D(E_F): 7.02 states/eV/f.u.
* total magnetization: 7.12 μB/cell

a = 3.4335 Å, b = 3.4335 Å, c = 6.8265 Å
α = 104.57°, β = 104.57°, γ = 90.00°
Site moments in Bohr magnetons follow the coordinates.
Atoms (fractional coordinates):
Ru 0.6790 0.6790 0.3580  0.15
Lu 0.2902 0.2902 0.5804  -0.07
Eu 0.0308 0.0308 0.0616  -6.84

***

# 7
Compound: In2CuBiS
Source: Alexandria
Functional: PBE-GGA
Structure: relaxed

Calculated values
* space group: P4/mmm (123)
* crystal system: tetragonal
* electronic total energy: -3.31 eV/atom
* V: 26.3 Å³/atom
* formation energy from raw total energies: 0.21 eV per atom
* D(E_F): 1.89 states/eV/f.u.
* total magnetization: 0.00 μB/cell

a = 4.9602 Å, b = 5.3426 Å, c = 4.9602 Å
α = 90.00°, β = 90.00°, γ = 90.00°
Atoms (fractional coordinates):
S 0.5000 0.5000 0.5000
Bi 0.0000 0.5000 0.0000
In 0.5000 0.0000 0.0000
In 0.0000 0.0000 0.5000
Cu 0.0000 0.0000 0.0000

***

# 8
Compound: AcHo2Se5
Source: Alexandria
Functional: PBE-GGA
Structure: relaxed

Calculated values
* space group: I4/mcm (140)
* crystal system: tetragonal
* electronic total energy: -5.57 eV/atom
* V: 25.3 Å³/atom
* formation energy from raw total energies: -1.73 eV per atom
* D(E_F): 5.98 states/eV/f.u.
* total magnetization: 0.00 μB/cell

a = 7.7502 Å, b = 7.7502 Å, c = 8.6796 Å
α = 116.52°, β = 116.52°, γ = 90.00°
Atoms (fractional coordinates):
Ho 0.1567 0.3433 0.0000
Ho 0.6567 0.1567 0.0000
Ho 0.3433 0.8433 0.0000
Ho 0.8433 0.6567 0.0000
Se 0.5000 0.5000 0.0000
Se 0.7921 0.9895 0.2816
Se 0.9895 0.4895 0.2816
Se 0.0105 0.5105 0.7184
Se 0.7079 0.2079 0.7184
Se 0.0000 0.0000 0.0000
Se 0.2921 0.7921 0.2816
Se 0.2079 0.0105 0.7184
Se 0.5105 0.7079 0.7184
Se 0.4895 0.2921 0.2816
Ac 0.2500 0.2500 0.5000
Ac 0.7500 0.7500 0.5000

***

# 9
Compound: TiO2F
Source: Alexandria
Functional: PBE-GGA
Structure: relaxed

Calculated values
* space group: I-42d (122)
* crystal system: tetragonal
* electronic total energy: -6.97 eV/atom
* V: 17.3 Å³/atom
* formation energy from raw total energies: -2.05 eV per atom
* D(E_F): 13.08 states/eV/f.u.
* total magnetization: 2.00 μB/cell

a = 5.6831 Å, b = 5.6831 Å, c = 5.8825 Å
α = 61.12°, β = 61.12°, γ = 90.00°
Site moments in Bohr magnetons follow the coordinates.
Atoms (fractional coordinates):
F 0.2500 0.7500 0.5000  0.60
F 0.5000 0.5000 0.0000  0.61
Ti 0.0000 0.0000 0.0000  -0.04
Ti 0.7500 0.2500 0.5000  -0.04
O 0.8096 0.1250 0.2500  0.15
O 0.3750 0.1904 0.7500  0.12
O 0.8750 0.0596 0.7500  0.14
O 0.9404 0.6250 0.2500  0.16

***

# 10
Compound: Zn2PRu
Source: Alexandria
Functional: PBE-GGA
Structure: relaxed

Calculated values
* formation energy: -0.10 eV/atom
* space group: Amm2 (38)
* crystal system: orthorhombic
* electronic total energy: -4.41 eV/atom
* V: 14.8 Å³/atom
* D(E_F): 1.27 states/eV/f.u.
* total magnetization: 0.00 μB/cell

a = 5.1436 Å, b = 5.1436 Å, c = 3.7337 Å
α = 90.00°, β = 90.00°, γ = 143.27°
Atoms (fractional coordinates):
Zn 0.4180 0.5820 0.5000
Zn 0.0769 0.9231 0.0000
Ru 0.6893 0.3107 0.5000
P 0.8202 0.1798 0.0000

***

# 11
Compound: Be2CuMo
Source: Alexandria
Functional: PBE-GGA
Structure: relaxed

Calculated values
* formation energy: 0.20 eV/atom
* space group: C2/m (12)
* crystal system: monoclinic
* electronic total energy: -5.39 eV/atom
* ΔE to the lowest computed polymorph: 0.258 eV/atom
* V: 11.4 Å³/atom
* D(E_F): 1.62 states/eV/f.u.
* total magnetization: 0.00 μB/cell

a = 3.7604 Å, b = 3.7604 Å, c = 5.0873 Å
α = 83.21°, β = 83.21°, γ = 39.68°
Atoms (fractional coordinates):
Be 0.5064 0.5064 0.4559
Be 0.9936 0.9936 0.0441
Mo 0.7500 0.7500 0.7500
Cu 0.2500 0.2500 0.2500

***

# 12
Compound: Zr2MnCl
Source: Alexandria
Functional: PBE-GGA
Structure: relaxed

Calculated values
* space group: C2/m (12)
* crystal system: monoclinic
* electronic total energy: -7.42 eV/atom
* ΔE to the lowest computed polymorph: 0.120 eV/atom
* V: 20.8 Å³/atom
* formation energy from raw total energies: -0.39 eV per atom
* D(E_F): 1.13 states/eV/f.u.
* total magnetization: 0.00 μB/cell

a = 3.8731 Å, b = 3.8731 Å, c = 7.9184 Å
α = 69.90°, β = 69.90°, γ = 49.29°
Atoms (fractional coordinates):
Zr 0.0677 0.0677 0.0591
Zr 0.4323 0.4323 0.4409
Mn 0.2500 0.2500 0.2500
Cl 0.7500 0.7500 0.7500

***

# 13
Compound: RbThCuSe4
Source: Alexandria
Functional: PBE-GGA
Structure: relaxed

Calculated values
* space group: P2_1/m (11)
* crystal system: monoclinic
* electronic total energy: -4.87 eV/atom
* V: 28.8 Å³/atom
* formation energy from raw total energies: -1.09 eV per atom
* D(E_F): 5.87 states/eV/f.u.
* total magnetization: 0.00 μB/cell

a = 7.3592 Å, b = 5.7792 Å, c = 9.8420 Å
α = 90.00°, β = 105.48°, γ = 90.00°
Atoms (fractional coordinates):
Se 0.5366 0.2500 0.8264
Se 0.0037 0.5105 0.7002
Se 0.9963 0.0105 0.2998
Se 0.5881 0.2500 0.4203
Se 0.4634 0.7500 0.1736
Se 0.4119 0.7500 0.5797
Se 0.0037 0.9895 0.7002
Se 0.9963 0.4895 0.2998
Cu 0.2662 0.7500 0.3266
Cu 0.7338 0.2500 0.6734
Rb 0.7559 0.7500 0.9544
Rb 0.2441 0.2500 0.0456
Th 0.2688 0.2500 0.5564
Th 0.7312 0.7500 0.4436

***

# 14
Compound: Li6PmBi4
Source: Alexandria
Functional: PBE-GGA
Structure: relaxed

Calculated values
* formation energy: -0.46 eV/atom
* space group: P-6m2 (187)
* crystal system: hexagonal
* electronic total energy: -3.35 eV/atom
* V: 23.5 Å³/atom
* D(E_F): 6.18 states/eV/f.u.
* total magnetization: 0.00 μB/cell

a = 4.4852 Å, b = 8.1652 Å, c = 8.1652 Å
α = 120.00°, β = 90.00°, γ = 90.00°
Atoms (fractional coordinates):
Li 0.5000 0.5732 0.7866
Li 0.5000 0.2134 0.7866
Li 0.0000 0.5326 0.0651
Li 0.0000 0.5326 0.4674
Li 0.0000 0.9349 0.4674
Li 0.5000 0.2134 0.4268
Bi 0.5000 0.3584 0.1792
Bi 0.0000 0.3333 0.6667
Bi 0.5000 0.8208 0.6416
Bi 0.5000 0.8208 0.1792
Pm 0.0000 0.0000 0.0000

***

# 15
Compound: Y2PO5
Source: Alexandria
Functional: PBE-GGA
Structure: relaxed

Calculated values
* space group: P2_1/c (14)
* crystal system: monoclinic
* electronic total energy: -8.28 eV/atom
* V: 14.5 Å³/atom
* formation energy from raw total energies: -2.89 eV per atom
* D(E_F): 0.64 states/eV/f.u.
* total magnetization: 0.00 μB/cell

a = 4.0965 Å, b = 11.7689 Å, c = 9.8885 Å
α = 90.00°, β = 90.00°, γ = 77.42°
Atoms (fractional coordinates):
O 0.7525 0.5194 0.1051
O 0.2058 0.2189 0.9733
O 0.4010 0.6923 0.8922
O 0.3448 0.4158 0.6044
O 0.2475 0.9806 0.6051
O 0.5990 0.8077 0.3922
O 0.8046 0.2786 0.7368
O 0.2058 0.7189 0.5267
O 0.5990 0.3077 0.1078
O 0.6552 0.0842 0.1044
O 0.8046 0.7786 0.7632
O 0.2475 0.4806 0.8949
O 0.6552 0.5842 0.3956
O 0.7942 0.7811 0.0267
O 0.1954 0.7214 0.2632
O 0.3448 0.9158 0.8956
O 0.7942 0.2811 0.4733
O 0.7525 0.0194 0.3949
O 0.1954 0.2214 0.2368
O 0.4010 0.1923 0.6078
P 0.5818 0.7956 0.8928
P 0.4182 0.2044 0.1072
P 0.4182 0.7044 0.3928
P 0.5818 0.2956 0.6072
Y 0.2155 0.0873 0.7931
Y 0.8106 0.8928 0.5752
Y 0.2155 0.5873 0.7069
Y 0.7845 0.4127 0.2931
Y 0.1894 0.1072 0.4248
Y 0.1894 0.6072 0.0752
Y 0.8106 0.3928 0.9248
Y 0.7845 0.9127 0.2069

***

# 16
Compound: Mg2ZnTc
Source: Alexandria
Functional: PBE-GGA
Structure: relaxed

Calculated values
* formation energy: 0.16 eV/atom
* space group: C2/m (12)
* crystal system: monoclinic
* electronic total energy: -3.55 eV/atom
* ΔE to the lowest computed polymorph: 0.073 eV/atom
* V: 16.4 Å³/atom
* D(E_F): 2.45 states/eV/f.u.
* total magnetization: 0.00 μB/cell

a = 5.0079 Å, b = 5.0079 Å, c = 4.8748 Å
α = 76.26°, β = 76.26°, γ = 33.71°
Atoms (fractional coordinates):
Tc 0.7500 0.7500 0.7500
Mg 0.9984 0.9984 0.9937
Mg 0.5016 0.5016 0.5063
Zn 0.2500 0.2500 0.2500

***

# 17
Compound: SrCaAs3
Source: Alexandria
Functional: PBE-GGA
Structure: relaxed

Calculated values
* formation energy: 0.27 eV/atom
* space group: Pm-3m (221)
* crystal system: cubic
* electronic total energy: -3.25 eV/atom
* ΔE to the lowest computed polymorph: 0.383 eV/atom
* V: 33.8 Å³/atom
* D(E_F): 3.67 states/eV/f.u.
* total magnetization: 0.00 μB/cell

a = 5.5302 Å, b = 5.5302 Å, c = 5.5302 Å
α = 90.00°, β = 90.00°, γ = 90.00°
Atoms (fractional coordinates):
As 0.5000 0.0000 0.0000
As 0.0000 0.5000 0.0000
As 0.0000 0.0000 0.5000
Sr 0.0000 0.0000 0.0000
Ca 0.5000 0.5000 0.5000

***

# 18
Compound: CoMoRu2
Source: Alexandria
Functional: PBE-GGA
Structure: relaxed

Calculated values
* formation energy: 0.15 eV/atom
* space group: P4/mmm (123)
* crystal system: tetragonal
* electronic total energy: -8.97 eV/atom
* ΔE to the lowest computed polymorph: 0.143 eV/atom
* V: 13.7 Å³/atom
* D(E_F): 4.75 states/eV/f.u.
* total magnetization: 1.16 μB/cell

a = 2.7137 Å, b = 2.7137 Å, c = 7.4234 Å
α = 90.00°, β = 90.00°, γ = 90.03°
Site moments in Bohr magnetons follow the coordinates.
Atoms (fractional coordinates):
Mo 0.5000 0.5000 0.7500  -0.01
Ru 0.0000 0.0000 0.4829  0.09
Ru 0.0000 0.0000 0.0171  0.09
Co 0.5000 0.5000 0.2500  1.02